A relaxed structure of TaIn2Ga, computed with GGA-PBE.

Output
The space group is I-42d (122). Its crystal system is tetragonal. The formation energy from the elements comes out at 51.3 kJ/mol of atoms. The density of states at the Fermi level comes out at 6.01 states/eV/cell.

```
data_TaIn2Ga
_space_group_name_H-M_alt 'P 1'
_space_group_IT_number 1
_space_group_name_Hall 'P 1'
_cell_length_a 6.215
_cell_length_b 6.215
_cell_length_c 6.215
_cell_angle_alpha 101.87
_cell_angle_beta 101.87
_cell_angle_gamma 126.06
loop_
_atom_site_label
_atom_site_type_symbol
_atom_site_fract_x
_atom_site_fract_y
_atom_site_fract_z
Ta1 Ta 0.000 0.000 0.000
Ta2 Ta 0.750 0.250 0.500
In1 In 0.140 0.625 0.015
In2 In 0.375 0.390 0.515
In3 In 0.610 0.125 0.985
In4 In 0.875 0.860 0.485
Ga1 Ga 0.250 0.750 0.500
Ga2 Ga 0.500 0.500 0.000
```

A relaxed structure of Tb3Dy2HoP6, computed with GGA-PBE.

Output
The space group is C2/m (12). Its crystal system is monoclinic. The formation energy from the elements comes out at -155.7 kJ/mol of atoms. The density of states at the Fermi level comes out at 1.66 states/eV/cell.

```
data_Tb3Dy2HoP6
_space_group_name_H-M_alt 'P 1'
_space_group_IT_number 1
_space_group_name_Hall 'P 1'
_cell_length_a 6.952
_cell_length_b 6.952
_cell_length_c 6.953
_cell_angle_alpha 99.58
_cell_angle_beta 99.58
_cell_angle_gamma 119.99
loop_
_atom_site_label
_atom_site_type_symbol
_atom_site_fract_x
_atom_site_fract_y
_atom_site_fract_z
Tb1 Tb 0.000 0.000 0.000
Tb2 Tb 0.333 0.667 0.000
Tb3 Tb 0.667 0.333 0.000
Dy1 Dy 0.167 0.833 0.500
Dy2 Dy 0.833 0.167 0.500
Ho1 Ho 0.500 0.500 0.500
P1 P 0.085 0.417 0.252
P2 P 0.250 0.250 0.748
P3 P 0.417 0.085 0.252
P4 P 0.583 0.915 0.748
P5 P 0.750 0.750 0.252
P6 P 0.915 0.583 0.748
```

Among the records above, which one has the lowest density of states at the Fermi level?
Tb3Dy2HoP6